# InCoTe2O8, relaxed, DFT PBE+U
# Total moment in μB per atom: 0.0316
# VASP energy in Ry per atom: -0.3851
# Density of states at the Fermi level in states/eV/cell: 3.31
data_InCoTe2O8
_chemical_formula_sum 'In1 Co1 Te2 O8'
_cell_length_a 5.9787
_cell_length_b 5.9787
_cell_length_c 5.7747
_cell_angle_alpha 90.00
_cell_angle_beta 90.00
_cell_angle_gamma 120.00
_space_group_name_H-M_alt 'P -3 m 1'
_space_group_IT_number 164
_space_group_name_Hall '-P 3 2"'
loop_
_atom_site_label
_atom_site_fract_x
_atom_site_fract_y
_atom_site_fract_z
In1 0.0000 0.0000 0.0000
Co1 0.0000 0.0000 0.5000
Te1 0.3333 0.6667 0.6629
O1 0.1438 0.2877 0.7246
O2 0.3333 0.6667 0.3507